## HfNpIn (PBE)

Data for a relaxed HfNpIn crystal.

ΔH_f (0 K): 0.252 eV per atom
N(E_F): 26.4 states/eV per cell
total moment: 3.9 μB per formula unit

Geometry as CIF:
```
data_HfNpIn
_chemical_formula_sum 'Hf4 Np4 In4'
_symmetry_space_group_name_H-M 'C 1 2/m 1'
_symmetry_Int_Tables_number 12
_cell_length_a 6.024
_cell_length_b 6.010
_cell_length_c 7.806
_cell_angle_alpha 90.00
_cell_angle_beta 100.67
_cell_angle_gamma 90.00
loop_
_symmetry_equiv_pos_as_xyz
'x,y,z'
'-x,-y,-z'
'-x,y,-z'
'x,-y,z'
'x+1/2,y+1/2,z'
'-x+1/2,-y+1/2,-z'
'-x+1/2,y+1/2,-z'
'x+1/2,-y+1/2,z'
loop_
_atom_site_label
_atom_site_type_symbol
_atom_site_fract_x
_atom_site_fract_y
_atom_site_fract_z
Hf1 Hf 0.081 0.000 0.325
Np1 Np 0.250 0.250 0.000
In1 In 0.082 0.500 0.325
```

=====

## K3IF4 (PBE)

Data for a relaxed K3IF4 crystal.

formation energy from raw total energies: -2.183 eV per atom
N(E_F): 0.0 states/eV per cell
total moment: 0.0 μB per formula unit

Geometry as CIF:
```
data_K3IF4
_chemical_formula_sum 'K6 I2 F8'
_symmetry_space_group_name_H-M 'P m m n'
_symmetry_Int_Tables_number 59
_cell_length_a 5.657
_cell_length_b 8.761
_cell_length_c 8.720
_cell_angle_alpha 90.00
_cell_angle_beta 90.00
_cell_angle_gamma 90.00
loop_
_symmetry_equiv_pos_as_xyz
'x,y,z'
'-x,-y,-z'
'-x+1/2,-y+1/2,z'
'x+1/2,y+1/2,-z'
'x+1/2,-y,-z'
'-x+1/2,y,z'
'-x,y+1/2,-z'
'x,-y+1/2,z'
loop_
_atom_site_label
_atom_site_type_symbol
_atom_site_fract_x
_atom_site_fract_y
_atom_site_fract_z
K1 K 0.250 0.017 0.208
K2 K 0.250 0.250 0.654
I1 I 0.250 0.750 0.870
F1 F 0.250 0.250 0.374
F2 F 0.250 0.506 0.870
F3 F 0.250 0.750 0.307
```

=====

## SnIr3Pb (PBE)

Data for a relaxed SnIr3Pb crystal.

ΔH_f (0 K): 1.455 eV per atom
N(E_F): 9.0 states/eV per cell
relative energy among the computed polymorphs: 0 meV/atom
total moment: 0.0 μB per formula unit

Geometry as CIF:
```
data_SnIr3Pb
_chemical_formula_sum 'Sn1 Ir3 Pb1'
_symmetry_space_group_name_H-M 'P m -3 m'
_symmetry_Int_Tables_number 221
_symmetry_space_group_name_Hall '-P 4 2 3'
_cell_length_a 4.928
_cell_length_b 4.928
_cell_length_c 4.928
_cell_angle_alpha 90.00
_cell_angle_beta 90.00
_cell_angle_gamma 90.00
loop_
_atom_site_label
_atom_site_type_symbol
_atom_site_fract_x
_atom_site_fract_y
_atom_site_fract_z
Sn1 Sn 0.000 0.000 0.000
Ir1 Ir 0.000 0.000 0.500
Pb1 Pb 0.500 0.500 0.500
```

=====

## Hf2MgSc2 (PBE)

Data for a relaxed Hf2MgSc2 crystal.

ΔH_f (0 K): -0.001 eV per atom
N(E_F): 6.4 states/eV per cell
relative energy among the computed polymorphs: 0 meV/atom
total moment: 0.0 μB per formula unit

Geometry as CIF:
```
data_Hf2MgSc2
_chemical_formula_sum 'Hf2 Mg1 Sc2'
_symmetry_space_group_name_H-M 'P -3 m 1'
_symmetry_Int_Tables_number 164
_symmetry_space_group_name_Hall '-P 3 2"'
_cell_length_a 3.2280
_cell_length_b 3.2280
_cell_length_c 12.9841
_cell_angle_alpha 90.00
_cell_angle_beta 90.00
_cell_angle_gamma 120.00
loop_
_atom_site_label
_atom_site_type_symbol
_atom_site_fract_x
_atom_site_fract_y
_atom_site_fract_z
Hf1 Hf 0.3333 0.6667 0.4033
Mg1 Mg 0.0000 0.0000 0.0000
Sc1 Sc 0.3333 0.6667 0.7906
```

=====

## Tb4SiBiSe2 (PBE)

Data for a relaxed Tb4SiBiSe2 crystal.

formation energy from raw total energies: -1.310 eV per atom
N(E_F): 1.7 states/eV per cell
total moment: 0.0 μB per formula unit

Geometry as CIF:
```
data_Tb4SiBiSe2
_chemical_formula_sum 'Tb4 Si1 Bi1 Se2'
_symmetry_space_group_name_H-M 'P 1 2/m 1'
_symmetry_Int_Tables_number 10
_cell_length_a 7.274
_cell_length_b 4.218
_cell_length_c 7.386
_cell_angle_alpha 90.00
_cell_angle_beta 109.43
_cell_angle_gamma 90.00
loop_
_symmetry_equiv_pos_as_xyz
'x,y,z'
'-x,-y,-z'
'-x,y,-z'
'x,-y,z'
loop_
_atom_site_label
_atom_site_type_symbol
_atom_site_fract_x
_atom_site_fract_y
_atom_site_fract_z
Tb1 Tb 0.243 0.000 0.233
Tb2 Tb 0.252 0.500 0.769
Si1 Si 0.000 0.500 0.000
Bi1 Bi 0.000 0.000 0.500
Se1 Se 0.500 0.000 0.000
Se2 Se 0.500 0.500 0.500
```

=====

## K3TmSb2Te6 (PBE)

Data for a relaxed K3TmSb2Te6 crystal.

formation energy from raw total energies: -0.810 eV per atom
total moment: 0.0 μB per formula unit

Geometry as CIF:
```
data_K3TmSb2Te6
_chemical_formula_sum 'K6 Tm2 Sb4 Te12'
_symmetry_space_group_name_H-M 'C 1 2/m 1'
_symmetry_Int_Tables_number 12
_cell_length_a 7.801
_cell_length_b 13.513
_cell_length_c 8.640
_cell_angle_alpha 90.00
_cell_angle_beta 107.50
_cell_angle_gamma 90.00
loop_
_symmetry_equiv_pos_as_xyz
'x,y,z'
'-x,-y,-z'
'-x,y,-z'
'x,-y,z'
'x+1/2,y+1/2,z'
'-x+1/2,-y+1/2,-z'
'-x+1/2,y+1/2,-z'
'x+1/2,-y+1/2,z'
loop_
_atom_site_label
_atom_site_type_symbol
_atom_site_fract_x
_atom_site_fract_y
_atom_site_fract_z
K1 K 0.000 0.000 0.000
K2 K 0.000 0.331 0.000
Tm1 Tm 0.000 0.500 0.500
Sb1 Sb 0.000 0.166 0.500
Te1 Te 0.233 0.335 0.704
Te2 Te 0.238 0.000 0.706
```

=====

## Mn2NiCl (PBE)

Data for a relaxed Mn2NiCl crystal.

formation energy from raw total energies: 0.464 eV per atom
N(E_F): 4.2 states/eV per cell
relative energy among the computed polymorphs: 490 meV/atom
total moment: 8.5 μB per formula unit

Geometry as CIF:
```
data_Mn2NiCl
_chemical_formula_sum 'Mn4 Ni2 Cl2'
_symmetry_space_group_name_H-M 'I 4/m m m'
_symmetry_Int_Tables_number 139
_symmetry_space_group_name_Hall '-I 4 2'
_cell_length_a 4.083
_cell_length_b 4.083
_cell_length_c 7.109
_cell_angle_alpha 90.00
_cell_angle_beta 90.00
_cell_angle_gamma 90.00
loop_
_atom_site_label
_atom_site_type_symbol
_atom_site_fract_x
_atom_site_fract_y
_atom_site_fract_z
Mn1 Mn 0.000 0.500 0.250
Ni1 Ni 0.000 0.000 0.000
Cl1 Cl 0.000 0.000 0.500
```

=====

## Pm6Bi3Sb2Pb (PBE)

Data for a relaxed Pm6Bi3Sb2Pb crystal.

formation energy from raw total energies: -0.933 eV per atom
N(E_F): 9.3 states/eV per cell
total moment: 0.0 μB per formula unit

Geometry as CIF:
```
data_Pm6Bi3Sb2Pb
_chemical_formula_sum 'Pm12 Bi6 Sb4 Pb2'
_symmetry_space_group_name_H-M 'C 1 2/m 1'
_symmetry_Int_Tables_number 12
_cell_length_a 19.786
_cell_length_b 4.538
_cell_length_c 9.101
_cell_angle_alpha 90.00
_cell_angle_beta 103.05
_cell_angle_gamma 90.00
loop_
_symmetry_equiv_pos_as_xyz
'x,y,z'
'-x,-y,-z'
'-x,y,-z'
'x,-y,z'
'x+1/2,y+1/2,z'
'-x+1/2,-y+1/2,-z'
'-x+1/2,y+1/2,-z'
'x+1/2,-y+1/2,z'
loop_
_atom_site_label
_atom_site_type_symbol
_atom_site_fract_x
_atom_site_fract_y
_atom_site_fract_z
Pm1 Pm 0.002 0.000 0.252
Pm2 Pm 0.167 0.500 0.089
Pm3 Pm 0.169 0.500 0.580
Bi1 Bi 0.000 0.500 0.500
Bi2 Bi 0.166 0.000 0.834
Sb1 Sb 0.167 0.000 0.334
Pb1 Pb 0.000 0.500 0.000
```

=====

## Mg2ScAgPt (PBE)

Data for a relaxed Mg2ScAgPt crystal.

ΔH_f (0 K): 0.304 eV per atom
N(E_F): 3.6 states/eV per cell
total moment: 0.0 μB per formula unit

Geometry as CIF:
```
data_Mg2ScAgPt
_chemical_formula_sum 'Mg2 Sc1 Ag1 Pt1'
_symmetry_space_group_name_H-M 'P 4/m m m'
_symmetry_Int_Tables_number 123
_symmetry_space_group_name_Hall '-P 4 2'
_cell_length_a 4.827
_cell_length_b 4.827
_cell_length_c 5.126
_cell_angle_alpha 90.00
_cell_angle_beta 90.00
_cell_angle_gamma 90.00
loop_
_atom_site_label
_atom_site_type_symbol
_atom_site_fract_x
_atom_site_fract_y
_atom_site_fract_z
Mg1 Mg 0.000 0.500 0.000
Sc1 Sc 0.000 0.000 0.500
Ag1 Ag 0.000 0.000 0.000
Pt1 Pt 0.500 0.500 0.500
```

=====

## NbGaTe2F (PBE)

Data for a relaxed NbGaTe2F crystal.

formation energy from raw total energies: 0.153 eV per atom
N(E_F): 3.4 states/eV per cell
total moment: 2.1 μB per formula unit

Geometry as CIF:
```
data_NbGaTe2F
_chemical_formula_sum 'Nb1 Ga1 Te2 F1'
_symmetry_space_group_name_H-M 'P 4/m m m'
_symmetry_Int_Tables_number 123
_symmetry_space_group_name_Hall '-P 4 2'
_cell_length_a 5.047
_cell_length_b 5.047
_cell_length_c 4.313
_cell_angle_alpha 90.00
_cell_angle_beta 90.00
_cell_angle_gamma 90.00
loop_
_atom_site_label
_atom_site_type_symbol
_atom_site_fract_x
_atom_site_fract_y
_atom_site_fract_z
Nb1 Nb 0.000 0.000 0.000
Ga1 Ga 0.500 0.500 0.000
Te1 Te 0.000 0.500 0.500
F1 F 0.500 0.500 0.500
```

=====

## LiTe2NF (PBE)

Data for a relaxed LiTe2NF crystal.

formation energy from raw total energies: 0.523 eV per atom
N(E_F): 3.1 states/eV per cell
relative energy among the computed polymorphs: 0 meV/atom
total moment: 0.0 μB per formula unit

Geometry as CIF:
```
data_LiTe2NF
_chemical_formula_sum 'Li1 Te2 N1 F1'
_symmetry_space_group_name_H-M 'P 4/m m m'
_symmetry_Int_Tables_number 123
_symmetry_space_group_name_Hall '-P 4 2'
_cell_length_a 4.928
_cell_length_b 4.928
_cell_length_c 3.494
_cell_angle_alpha 90.00
_cell_angle_beta 90.00
_cell_angle_gamma 90.00
loop_
_atom_site_label
_atom_site_type_symbol
_atom_site_fract_x
_atom_site_fract_y
_atom_site_fract_z
Li1 Li 0.000 0.000 0.000
Te1 Te 0.000 0.500 0.000
N1 N 0.000 0.000 0.500
F1 F 0.500 0.500 0.500
```

=====

## RbBeN2O (PBE)

Data for a relaxed RbBeN2O crystal.

formation energy from raw total energies: 0.913 eV per atom
N(E_F): 5.1 states/eV per cell
total moment: 2.6 μB per formula unit

Geometry as CIF:
```
data_RbBeN2O
_chemical_formula_sum 'Rb1 Be1 N2 O1'
_symmetry_space_group_name_H-M 'P 4/m m m'
_symmetry_Int_Tables_number 123
_symmetry_space_group_name_Hall '-P 4 2'
_cell_length_a 3.656
_cell_length_b 3.656
_cell_length_c 4.681
_cell_angle_alpha 90.00
_cell_angle_beta 90.00
_cell_angle_gamma 90.00
loop_
_atom_site_label
_atom_site_type_symbol
_atom_site_fract_x
_atom_site_fract_y
_atom_site_fract_z
Rb1 Rb 0.000 0.000 0.000
Be1 Be 0.500 0.500 0.500
N1 N 0.000 0.500 0.500
O1 O 0.500 0.500 0.000
```